1.
Material: Ti2TlFeAs
Method: DFT, GGA-PBE
State: relaxed

Summary:
- Formation energy: 5.31 eV per formula unit

Cell: 4.6837 4.6837 5.1551 Å, 90.00 90.00 90.00°
With the nearest neighbours (Å) after each atom.
Space group P4/mmm (No. 123)
Unique sites:
Ti: 0.0000 0.5000 0.0000 (multiplicity 2)  2 As 2.34
Tl: 0.0000 0.0000 0.5000 (multiplicity 1)  2 As 2.58
Fe: 0.5000 0.5000 0.5000 (multiplicity 1)  4 Tl 3.31, 8 Ti 3.48
As: 0.0000 0.0000 0.0000 (multiplicity 1)  4 Ti 2.34, 2 Tl 2.58

***

2.
Material: AcLaAg
Method: DFT, GGA-PBE
State: relaxed

Summary:
- Energy relative to the lowest polymorph listed for this composition: 0.2135 eV per atom
- Formation energy: 0.18 eV per formula unit

Cell: 7.6225 7.6225 7.6225 Å, 90.00 90.00 90.00°
With the nearest neighbours (Å) after each atom.
Space group F-43m (No. 216)
Unique sites:
Ac: 0.0000 0.0000 0.0000 (multiplicity 4)  4 Ag 3.30
La: 0.0000 0.0000 0.5000 (multiplicity 4)  4 Ag 3.30
Ag: 0.2500 0.2500 0.7500 (multiplicity 4)  4 Ac 3.30, 4 La 3.30

***

3.
Material: Tb3NdPa2N6
Method: DFT, GGA-PBE
State: relaxed

Summary:
- ΔE_f (raw): -1.64 eV/atom

Cell: 6.1116 10.5828 6.0864 Å, 90.00 109.55 90.00°
With the nearest neighbours (Å) after each atom.
Space group C2/m (No. 12)
Unique sites:
Tb: 0.0000 0.0000 0.0000 (multiplicity 2)  6 N 2.42-2.58
Tb: 0.0000 0.3346 0.0000 (multiplicity 4)  6 N 2.43-2.58
Nd: 0.0000 0.5000 0.5000 (multiplicity 2)  6 N 2.57
Pa: 0.0000 0.1669 0.5000 (multiplicity 4)  6 N 2.40-2.41
N: 0.2261 0.0000 0.7406 (multiplicity 4)  2 Pa 2.41, 3 Tb 2.42-2.57, 1 Nd 2.57
N: 0.2424 0.1774 0.2604 (multiplicity 8)  2 Pa 2.40, 3 Tb 2.43-2.58, 1 Nd 2.57

***

4.
Material: VIr2Rh3
Method: DFT, GGA-PBE
State: relaxed

Summary:
- Formation energy: -0.96 eV per formula unit

Cell: 6.3881 2.7547 9.7493 Å, 90.00 90.40 90.00°
With the nearest neighbours (Å) after each atom.
Space group P2_1/m (No. 11)
Unique sites:
V: 0.2049 0.2500 0.2505 (multiplicity 2)  5 Rh 2.48-2.63, 4 Ir 2.52-2.64, 2 V 2.75
Ir: 0.0783 0.2500 0.6135 (multiplicity 2)  6 Rh 2.64-2.78, 2 V 2.64, 4 Ir 2.75-2.79
Ir: 0.3404 0.7500 0.0538 (multiplicity 2)  2 V 2.52, 4 Ir 2.68-2.75, 3 Rh 2.72-2.76
Rh: 0.0801 0.2500 0.8838 (multiplicity 2)  2 V 2.63, 4 Ir 2.64-2.76, 6 Rh 2.75-2.85
Rh: 0.3406 0.7500 0.4435 (multiplicity 2)  2 V 2.48, 4 Rh 2.69-2.75, 3 Ir 2.73-2.74
Rh: 0.3946 0.7500 0.7495 (multiplicity 2)  1 V 2.56, 4 Rh 2.75-2.77, 2 Ir 2.78